(1)
A relaxed structure of HgP2Os, computed with PBE.

Summary:
Crystal system: trigonal
Raw total energy in eV/atom: -5.442
SG: R-3m (166)
Formation energy in eV per formula unit: 0.58
V in A^3/atom: 18.3

a = 2.965 Å, b = 2.965 Å, c = 28.854 Å
α = 90.00°, β = 90.00°, γ = 120.00°
Atoms (fractional coordinates):
Hg 0.000 0.000 0.000
Hg 0.333 0.667 0.667
Hg 0.667 0.333 0.333
P 0.000 0.000 0.228
P 0.000 0.000 0.772
P 0.333 0.667 0.439
P 0.333 0.667 0.894
P 0.667 0.333 0.106
P 0.667 0.333 0.561
Os 0.000 0.000 0.500
Os 0.333 0.667 0.167
Os 0.667 0.333 0.833

(2)
A relaxed structure of Cd2Cu, computed with PBE.

Summary:
Crystal system: hexagonal
Raw total energy in eV/atom: -1.830
SG: P-6m2 (187)
Formation energy in eV per formula unit: 0.43
V in A^3/atom: 19.4

a = 3.013 Å, b = 3.013 Å, c = 7.399 Å
α = 90.00°, β = 90.00°, γ = 120.00°
Atoms (fractional coordinates):
Cd 0.000 0.000 0.205
Cd 0.000 0.000 0.795
Cu 0.667 0.333 0.500

(3)
A relaxed structure of RbCd2In, computed with PBE.

Summary:
Crystal system: tetragonal
Raw total energy in eV/atom: -1.272
SG: P4/mmm (123)
Formation energy in eV per formula unit: 0.45
V in A^3/atom: 32.8

a = 5.436 Å, b = 5.436 Å, c = 4.433 Å
α = 90.00°, β = 90.00°, γ = 90.00°
Atoms (fractional coordinates):
Rb 0.000 0.000 0.000
Cd 0.000 0.500 0.500
Cd 0.500 0.000 0.500
In 0.500 0.500 0.000